[1]
Density functional theory data (SCAN) for a crystal of Mg14MnCdO16 relaxed with PBEsol.

Calculated values
energy: -307.5 eV/f.u.
energy above the lowest structure with this stoichiometry: 0.000 eV per atom
E_form (uncorrected): -2.80 eV per atom

POSCAR file:
```
Mg14MnCdO16
1.0
4.2810 0.0000 0.0000
0.0000 8.5487 0.0000
0.0000 0.0000 8.5487
Mg Mn Cd O
14 1 1 16
Cartesian
0.0000 4.2743 0.0000
0.0000 0.0000 4.2743
2.1405 2.1459 0.0000
2.1405 6.4028 0.0000
2.1405 2.0956 4.2743
2.1405 6.4530 4.2743
2.1405 0.0000 2.1459
2.1405 4.2743 2.0956
2.1405 0.0000 6.4028
2.1405 4.2743 6.4530
0.0000 2.1229 2.1229
0.0000 6.4258 2.1229
0.0000 2.1229 6.4258
0.0000 6.4258 6.4258
0.0000 0.0000 0.0000
0.0000 4.2743 4.2743
0.0000 0.0000 2.1720
0.0000 4.2743 2.0146
0.0000 0.0000 6.3766
0.0000 4.2743 6.5340
2.1405 2.1387 2.1387
2.1405 6.4100 2.1387
2.1405 2.1387 6.4100
2.1405 6.4100 6.4100
2.1405 0.0000 0.0000
2.1405 4.2743 0.0000
2.1405 0.0000 4.2743
2.1405 4.2743 4.2743
0.0000 2.1720 0.0000
0.0000 6.3766 0.0000
0.0000 2.0146 4.2743
0.0000 6.5340 4.2743
```


[2]
Density functional theory data (SCAN) for a crystal of KLiCd relaxed with PBEsol.

Calculated values
energy: -40.7 eV/f.u.
energy above the lowest structure with this stoichiometry: 0.211 eV per atom
energy of formation from the pure elements: 147 meV per atom

POSCAR file:
```
KLiCd
1.0
5.2453 0.0000 0.0000
2.6226 4.5425 0.0000
2.6226 1.5142 4.2827
K Cd Li
1 1 1
Cartesian
5.2453 3.0284 2.1414
0.0000 0.0000 0.0000
2.6226 1.5142 1.0707
```